# Ca2LaRu

A relaxed structure of Ca2LaRu (PBE, the Alexandria database).

Cell lengths 3.946, 6.755, 9.853 Å; angles 90.00, 90.00, 107.06 degrees
Element x y z (fractional)
Ca 0.351 0.701 0.572
Ca 0.649 0.299 0.428
Ca 0.351 0.701 0.928
Ca 0.649 0.299 0.072
La 0.908 0.817 0.250
La 0.092 0.183 0.750
Ru 0.723 0.447 0.750
Ru 0.277 0.553 0.250

Calculated values
Density, g/cm3: 4.23
Offset from the most stable computed form, meV per atom: 19
V, Å³/cell: 251.1
DFT formation energy, meV/atom: -133